# 1
VASP calculation (PBE) on a relaxed Rb3CdAu3 crystal.

Cell lengths 7.872, 7.872, 9.151 Å; angles 94.62, 94.62, 109.50 degrees
Sites, in units of the cell vectors:
Rb  0.191  0.809  0.000
Rb  0.243  0.757  0.500
Rb  0.360  0.360  0.153
Rb  0.640  0.640  0.847
Rb  0.757  0.243  0.500
Rb  0.809  0.191  0.000
Cd  0.249  0.249  0.517
Cd  0.751  0.751  0.483
Au  0.006  0.006  0.709
Au  0.165  0.400  0.785
Au  0.400  0.165  0.785
Au  0.600  0.835  0.215
Au  0.835  0.600  0.215
Au  0.994  0.994  0.291

Output
As for the total magnetization: 0.0 μB/cell. The value obtained for the distance to the lowest polymorph of the same formula is 0.0355 eV per atom. The formation energy comes out at -0.23 eV per atom. Its space group is C2/m (12).

=====

# 2
VASP calculation (PBE) on a relaxed Tb7Dy12Ho crystal.

Cell lengths 8.652, 8.652, 8.652 Å; angles 94.95, 94.95, 94.95 degrees
Sites, in units of the cell vectors:
Tb  0.000  0.000  0.000
Tb  0.147  0.478  0.415
Tb  0.415  0.147  0.478
Tb  0.478  0.415  0.147
Tb  0.522  0.585  0.853
Tb  0.585  0.853  0.522
Tb  0.853  0.522  0.585
Dy  0.020  0.352  0.083
Dy  0.083  0.020  0.352
Dy  0.186  0.315  0.750
Dy  0.250  0.814  0.685
Dy  0.315  0.750  0.186
Dy  0.352  0.083  0.020
Dy  0.648  0.917  0.980
Dy  0.685  0.250  0.814
Dy  0.750  0.186  0.315
Dy  0.814  0.685  0.250
Dy  0.917  0.980  0.648
Dy  0.980  0.648  0.917
Ho  0.500  0.500  0.500

Output
As for the total magnetization: 0.0 μB/cell. The formation energy comes out at 0.29 eV per atom. Its space group is R-3 (148).

=====

# 3
VASP calculation (PBE) on a relaxed ReAg2Ir crystal.

Cell lengths 5.879, 5.879, 5.879 Å; angles 100.95, 100.95, 128.32 degrees
Sites, in units of the cell vectors:
Re  0.000  0.000  0.000
Re  0.750  0.250  0.500
Ag  0.126  0.125  0.501
Ag  0.375  0.874  0.999
Ag  0.624  0.625  0.499
Ag  0.875  0.376  0.001
Ir  0.250  0.750  0.500
Ir  0.500  0.500  0.000

Output
As for the total magnetization: 2.7 μB/cell. The value obtained for the distance to the lowest polymorph of the same formula is 1.0917 eV per atom. The formation energy comes out at 1.30 eV per atom. Its space group is I-42d (122).

=====

# 4
VASP calculation (PBE) on a relaxed NaRuRh crystal.

Cell lengths 5.188, 5.188, 7.497 Å; angles 105.40, 105.40, 30.57 degrees
Sites, in units of the cell vectors:
Na  0.137  0.137  0.040
Na  0.863  0.863  0.960
Ru  0.474  0.474  0.655
Ru  0.526  0.526  0.345
Rh  0.194  0.194  0.620
Rh  0.806  0.806  0.380

Output
As for the total magnetization: 0.0 μB/cell. The value obtained for the distance to the lowest polymorph of the same formula is 0.0940 eV per atom. The formation energy comes out at 0.39 eV per atom. Its space group is C2/m (12).

=====

# 5
VASP calculation (PBE) on a relaxed Hg12Ge3Bi5 crystal.

Cell lengths 14.815, 14.815, 14.815 Å; angles 109.47, 109.47, 109.47 degrees
Sites, in units of the cell vectors:
Hg  0.059  0.630  0.386
Hg  0.059  0.929  0.674
Hg  0.071  0.244  0.130
Hg  0.071  0.326  0.941
Hg  0.114  0.744  0.674
Hg  0.114  0.870  0.441
Hg  0.130  0.071  0.244
Hg  0.130  0.559  0.886
Hg  0.174  0.244  0.614
Hg  0.174  0.429  0.559
Hg  0.244  0.130  0.071
Hg  0.244  0.614  0.174
Hg  0.256  0.326  0.886
Hg  0.256  0.429  0.370
Hg  0.326  0.886  0.256
Hg  0.326  0.941  0.071
Hg  0.370  0.256  0.429
Hg  0.370  0.614  0.941
Hg  0.386  0.059  0.630
Hg  0.386  0.826  0.756
Hg  0.429  0.370  0.256
Hg  0.429  0.559  0.174
Hg  0.441  0.114  0.870
Hg  0.441  0.826  0.571
Hg  0.559  0.174  0.429
Hg  0.559  0.886  0.130
Hg  0.571  0.441  0.826
Hg  0.571  0.630  0.744
Hg  0.614  0.174  0.244
Hg  0.614  0.941  0.370
Hg  0.630  0.386  0.059
Hg  0.630  0.744  0.571
Hg  0.674  0.059  0.929
Hg  0.674  0.114  0.744
Hg  0.744  0.571  0.630
Hg  0.744  0.674  0.114
Hg  0.756  0.386  0.826
Hg  0.756  0.870  0.929
Hg  0.826  0.571  0.441
Hg  0.826  0.756  0.386
Hg  0.870  0.441  0.114
Hg  0.870  0.929  0.756
Hg  0.886  0.130  0.559
Hg  0.886  0.256  0.326
Hg  0.929  0.674  0.059
Hg  0.929  0.756  0.870
Hg  0.941  0.071  0.326
Hg  0.941  0.370  0.614
Ge  0.125  0.250  0.375
Ge  0.125  0.375  0.750
Ge  0.250  0.375  0.125
Ge  0.250  0.875  0.625
Ge  0.375  0.125  0.250
Ge  0.375  0.750  0.125
Ge  0.625  0.250  0.875
Ge  0.625  0.875  0.750
Ge  0.750  0.125  0.375
Ge  0.750  0.625  0.875
Ge  0.875  0.625  0.250
Ge  0.875  0.750  0.625
Bi  0.000  0.000  0.000
Bi  0.000  0.000  0.500
Bi  0.000  0.500  0.000
Bi  0.000  0.500  0.500
Bi  0.125  0.750  0.875
Bi  0.125  0.875  0.250
Bi  0.250  0.125  0.875
Bi  0.250  0.625  0.375
Bi  0.375  0.250  0.625
Bi  0.375  0.625  0.750
Bi  0.500  0.000  0.000
Bi  0.500  0.000  0.500
Bi  0.500  0.500  0.000
Bi  0.500  0.500  0.500
Bi  0.625  0.375  0.250
Bi  0.625  0.750  0.375
Bi  0.750  0.375  0.625
Bi  0.750  0.875  0.125
Bi  0.875  0.125  0.750
Bi  0.875  0.250  0.125

Output
As for the total magnetization: 0.0 μB/cell. The formation energy comes out at 0.23 eV per atom. Its space group is Ia-3d (230).

=====

# 6
VASP calculation (PBE) on a relaxed AcNd4In5 crystal.

Cell lengths 3.918, 3.918, 19.647 Å; angles 90.00, 90.00, 90.00 degrees
Sites, in units of the cell vectors:
Ac  0.000  0.000  0.000
Nd  0.000  0.000  0.208
Nd  0.000  0.000  0.403
Nd  0.000  0.000  0.597
Nd  0.000  0.000  0.792
In  0.500  0.500  0.113
In  0.500  0.500  0.306
In  0.500  0.500  0.500
In  0.500  0.500  0.694
In  0.500  0.500  0.887

Output
As for the total magnetization: 0.0 μB/cell. The formation energy comes out at -0.48 eV per atom. Its space group is P4/mmm (123).